Sc2PPb2 | Alexandria via LeMat-Bulk | PBE | relaxed; density of states at the Fermi level = 1.9 states/eV/f.u.; space group = P4/mbm; ΔE_f = -2.7 eV/f.u.
1.0
6.9869 0.0000 0.0000
0.0000 6.9869 0.0000
0.0000 0.0000 4.8484
Pb Sc P
4 4 2
direct
0.1571 0.6571 0.5000
0.6571 0.8429 0.5000
0.8429 0.3429 0.5000
0.3429 0.1571 0.5000
0.3329 0.8329 0.0000
0.8329 0.6671 0.0000
0.6671 0.1671 0.0000
0.1671 0.3329 0.0000
0.0000 0.0000 0.0000
0.5000 0.5000 0.0000

AgAsBr2 | Alexandria via LeMat-Bulk | PBE | relaxed; density of states at the Fermi level = 1.6 states/eV/f.u.; space group = P4mm; distance to the lowest polymorph of the same formula = 0.304 eV/atom
1.0
-0.6569 3.1573 -1.3731
-1.0597 -1.5155 -2.9775
-7.7904 -0.3397 2.9456
As Br Ag
1 2 1
direct
0.5000 0.5000 0.6961
0.0000 0.0000 0.9324
0.5000 0.5000 0.3407
0.0000 0.0000 0.5308

SrReO4 | Alexandria via LeMat-Bulk | PBE | relaxed; raw total energy = -185.95 eV/cell; space group = P2_1/c
1.0
-4.8097 -6.9656 -2.0355
1.5693 -2.6598 5.3938
-4.6671 0.7583 8.4334
Sr Re O
4 4 16
direct
0.0393 0.8993 0.8414
0.5393 0.1007 0.6586
0.4607 0.8993 0.3414
0.9607 0.1007 0.1586
0.3121 0.4179 0.8363
0.8121 0.5821 0.6637
0.1879 0.4179 0.3363
0.6879 0.5821 0.1637
0.5708 0.7640 0.9757
0.1429 0.2071 0.9030
0.8710 0.5447 0.8579
0.3005 0.7561 0.7734
0.8005 0.2439 0.7266
0.3710 0.4553 0.6421
0.6429 0.7929 0.5970
0.9292 0.7640 0.4757
0.0708 0.2360 0.5243
0.3571 0.2071 0.4030
0.6290 0.5447 0.3579
0.1995 0.7561 0.2734
0.6995 0.2439 0.2266
0.1290 0.4553 0.1421
0.8571 0.7929 0.0970
0.4292 0.2360 0.0243

K3RuSe | Alexandria via LeMat-Bulk | PBE | relaxed; density of states at the Fermi level = 25.8 states/eV/f.u.; space group = Pm-3m; distance to the lowest polymorph of the same formula = 0.000 eV/atom
1.0
-3.1777 0.6586 -5.3436
-2.0003 -5.9052 0.4617
-4.9987 1.9444 3.2122
Ru K Se
1 3 1
direct
0.5000 0.5000 0.5000
0.0000 0.5000 0.0000
0.0000 0.0000 0.5000
0.5000 0.0000 0.0000
0.0000 0.0000 0.0000

Li2LaY | Alexandria via LeMat-Bulk | PBE | relaxed; density of states at the Fermi level = 4.0 states/eV/f.u.; space group = Pmmm; ΔE_f = 0.7 eV/f.u.; distance to the lowest polymorph of the same formula = 0.120 eV/atom
1.0
3.8423 0.0000 0.0000
0.0000 5.5340 0.0000
0.0000 0.0000 5.4157
La Li Y
1 2 1
direct
0.0000 0.5000 0.5000
0.0000 0.0000 0.0000
0.5000 0.5000 0.0000
0.5000 0.0000 0.5000

ZnP2W | Alexandria via LeMat-Bulk | PBE | relaxed; density of states at the Fermi level = 1.6 states/eV/f.u.; space group = P4mm; ΔE_f = 0.6 eV/f.u.
1.0
3.4107 0.0000 0.0000
0.0000 3.4107 0.0000
0.0000 0.0000 5.1342
P W Zn
2 1 1
direct
0.0000 0.0000 0.9403
0.5000 0.5000 0.3197
0.0000 0.0000 0.4403
0.5000 0.5000 0.7997

LiSmLuMn | Alexandria via LeMat-Bulk | PBE | relaxed; density of states at the Fermi level = 4.1 states/eV/f.u.; space group = F-43m; ΔE_f = 0.5 eV/f.u.
1.0
5.0259 0.0000 0.0000
2.5130 4.3526 0.0000
2.5130 1.4509 4.1036
Mn Lu Sm Li
1 1 1 1
direct
0.2500 0.2500 0.2500
0.5000 0.5000 0.5000
0.0000 0.0000 0.0000
0.7500 0.7500 0.7500

Pm2Pu3ThS6 | Alexandria via LeMat-Bulk | PBE | relaxed; density of states at the Fermi level = 21.2 states/eV/f.u.; raw total energy = -107.32 eV/cell; space group = C2/m
1.0
3.9781 0.0000 0.0000
0.0000 8.0129 0.2740
-1.9890 -2.3153 8.3948
Pm Pu Th S
2 3 1 6
direct
0.8335 0.6667 0.6669
0.1665 0.3333 0.3331
0.5000 0.5000 0.0000
0.8333 0.1659 0.6667
0.1667 0.8341 0.3333
0.5000 0.0000 0.0000
0.3309 0.9202 0.6618
0.6653 0.5883 0.3306
0.6691 0.0798 0.3382
0.9982 0.2564 0.9964
0.0018 0.7436 0.0036
0.3347 0.4117 0.6694

ZnIn3Si | Alexandria via LeMat-Bulk | PBE | relaxed; density of states at the Fermi level = 4.7 states/eV/f.u.; space group = Pm-3m; distance to the lowest polymorph of the same formula = 0.000 eV/atom
1.0
5.2916 0.0000 0.0000
0.0000 5.2916 0.0000
0.0000 0.0000 5.2916
Zn Si In
1 1 3
direct
0.5000 0.5000 0.5000
0.0000 0.0000 0.0000
0.0000 0.5000 0.0000
0.0000 0.0000 0.5000
0.5000 0.0000 0.0000

La2TbNd6Dy3 | Alexandria via LeMat-Bulk | PBE | relaxed; density of states at the Fermi level = 17.7 states/eV/f.u.; space group = C2/m; ΔE_f = 0.2 eV/f.u.
1.0
6.3318 -0.0021 0.0017
-3.1662 5.4833 0.0017
-1.0624 -1.8395 11.8808
La Tb Nd Dy
2 1 6 3
direct
0.3333 0.6667 0.0000
0.6667 0.3333 0.0000
0.0000 0.0000 0.0000
0.9151 0.5831 0.7454
0.7526 0.7526 0.2547
0.0849 0.4169 0.2546
0.5831 0.9151 0.7454
0.2474 0.2474 0.7453
0.4169 0.0849 0.2546
0.1663 0.8337 0.5000
0.8337 0.1663 0.5000
0.5000 0.5000 0.5000

NpSn2 | Alexandria via LeMat-Bulk | PBE | relaxed; density of states at the Fermi level = 6.5 states/eV/f.u.; space group = Fmmm; ΔE_f = 0.2 eV/f.u.
1.0
-1.6994 2.0352 2.6247
0.2493 -2.8655 2.3761
5.6824 2.2975 -0.7484
Np Sn
1 2
direct
0.5000 0.5000 0.0000
0.1811 0.1811 0.3619
0.8189 0.8189 0.6381

no.,M_tot (μB/f.u.)
1,0.000
2,0.000
3,1.003
4,3.000
5,0.000
6,0.000
7,2.465
8,16.881
9,0.000
10,0.000
11,5.092